Entry 1:
Computed, not measured: a PBEsol-optimized structure of Mn2ReMo at the SCAN level of DFT.

The structure in CIF format:
```
data_Mn2ReMo
_chemical_formula_sum 'Mn2 Re1 Mo1'
_cell_length_a 2.6044
_cell_length_b 4.0393
_cell_length_c 5.1070
_cell_angle_alpha 90.00
_cell_angle_beta 102.41
_cell_angle_gamma 90.00
_space_group_name_H-M_alt 'P 1 2/m 1'
_space_group_IT_number 10
loop_
_space_group_symop_operation_xyz
'x,y,z'
'-x,-y,-z'
'-x,y,-z'
'x,-y,z'
loop_
_atom_site_label
_atom_site_type_symbol
_atom_site_fract_x
_atom_site_fract_y
_atom_site_fract_z
_atom_site_occupancy
Mn1 Mn 0.2412 0.0000 0.2467 1
Re1 Re 0.5000 0.5000 0.0000 1
Mo1 Mo 0.0000 0.5000 0.5000 1
```

Properties
Formation enthalpy at 0 K, eV per formula unit: 0.04
Magnetic moment, μB per formula unit: 4.0

***

Entry 2:
Computed, not measured: a PBEsol-optimized structure of Mn2ReMo at the SCAN level of DFT.

The structure in CIF format:
```
data_Mn2ReMo
_chemical_formula_sum 'Mn6 Re3 Mo3'
_cell_length_a 2.6472
_cell_length_b 2.6472
_cell_length_c 25.5477
_cell_angle_alpha 90.00
_cell_angle_beta 90.00
_cell_angle_gamma 120.00
_space_group_name_H-M_alt 'R 3 m'
_space_group_IT_number 160
_space_group_name_Hall 'R 3 -2"'
loop_
_atom_site_label
_atom_site_type_symbol
_atom_site_fract_x
_atom_site_fract_y
_atom_site_fract_z
_atom_site_occupancy
Mn1 Mn 0.0000 0.0000 0.0000 1
Mn2 Mn 0.0000 0.0000 0.2617 1
Re1 Re 0.0000 0.0000 0.5135 1
Mo1 Mo 0.0000 0.0000 0.7517 1
```

Properties
Formation enthalpy at 0 K, eV per formula unit: 0.96
Magnetic moment, μB per formula unit: 0.3

***

Entry 3:
Computed, not measured: a PBEsol-optimized structure of MnReMo2 at the SCAN level of DFT.

The structure in CIF format:
```
data_MnReMo2
_chemical_formula_sum 'Mn3 Re3 Mo6'
_cell_length_a 2.7272
_cell_length_b 2.7272
_cell_length_c 26.2467
_cell_angle_alpha 90.00
_cell_angle_beta 90.00
_cell_angle_gamma 120.00
_space_group_name_H-M_alt 'R -3 m'
_space_group_IT_number 166
_space_group_name_Hall '-R 3 2"'
loop_
_atom_site_label
_atom_site_type_symbol
_atom_site_fract_x
_atom_site_fract_y
_atom_site_fract_z
_atom_site_occupancy
Mn1 Mn 0.0000 0.0000 0.0000 1
Re1 Re 0.0000 0.0000 0.5000 1
Mo1 Mo 0.0000 0.0000 0.2549 1
```

Properties
E above lowest polymorph, meV/atom: 383
Formation enthalpy at 0 K, eV per formula unit: 1.51
Magnetic moment, μB per formula unit: 0.0

***

Entry 4:
Computed, not measured: a PBEsol-optimized structure of MnReMo2 at the SCAN level of DFT.

The structure in CIF format:
```
data_MnReMo2
_chemical_formula_sum 'Mn3 Re3 Mo6'
_cell_length_a 2.6954
_cell_length_b 2.6954
_cell_length_c 26.9770
_cell_angle_alpha 90.00
_cell_angle_beta 90.00
_cell_angle_gamma 120.00
_space_group_name_H-M_alt 'R 3 m'
_space_group_IT_number 160
_space_group_name_Hall 'R 3 -2"'
loop_
_atom_site_label
_atom_site_type_symbol
_atom_site_fract_x
_atom_site_fract_y
_atom_site_fract_z
_atom_site_occupancy
Mn1 Mn 0.0000 0.0000 0.0000 1
Re1 Re 0.0000 0.0000 0.2589 1
Mo1 Mo 0.0000 0.0000 0.5036 1
Mo2 Mo 0.0000 0.0000 0.7456 1
```

Properties
E above lowest polymorph, meV/atom: 351
Formation enthalpy at 0 K, eV per formula unit: 1.38
Magnetic moment, μB per formula unit: 0.0

***

Entry 5:
Computed, not measured: a PBEsol-optimized structure of MnReMo2 at the SCAN level of DFT.

The structure in CIF format:
```
data_MnReMo2
_chemical_formula_sum 'Mn2 Re2 Mo4'
_cell_length_a 3.1069
_cell_length_b 4.3194
_cell_length_c 8.5014
_cell_angle_alpha 90.00
_cell_angle_beta 90.00
_cell_angle_gamma 90.00
_space_group_name_H-M_alt 'I m m 2'
_space_group_IT_number 44
loop_
_space_group_symop_operation_xyz
'x,y,z'
'-x,-y,z'
'-x,y,z'
'x,-y,z'
'x+1/2,y+1/2,z+1/2'
'-x+1/2,-y+1/2,z+1/2'
'-x+1/2,y+1/2,z+1/2'
'x+1/2,-y+1/2,z+1/2'
loop_
_atom_site_label
_atom_site_type_symbol
_atom_site_fract_x
_atom_site_fract_y
_atom_site_fract_z
_atom_site_occupancy
Mn1 Mn 0.0000 0.0000 0.0000 1
Re1 Re 0.0000 0.5000 0.2466 1
Mo1 Mo 0.0000 0.0000 0.4977 1
Mo2 Mo 0.0000 0.5000 0.7505 1
```

Properties
E above lowest polymorph, meV/atom: 2
Formation enthalpy at 0 K, eV per formula unit: -0.01
Magnetic moment, μB per formula unit: 2.5

***

Entry 6:
Computed, not measured: a PBEsol-optimized structure of MnMo2Rh at the SCAN level of DFT.

The structure in CIF format:
```
data_MnMo2Rh
_chemical_formula_sum 'Mn1 Mo2 Rh1'
_cell_length_a 4.5241
_cell_length_b 4.5241
_cell_length_c 2.7355
_cell_angle_alpha 90.00
_cell_angle_beta 90.00
_cell_angle_gamma 90.00
_space_group_name_H-M_alt 'P 4/m m m'
_space_group_IT_number 123
_space_group_name_Hall '-P 4 2'
loop_
_atom_site_label
_atom_site_type_symbol
_atom_site_fract_x
_atom_site_fract_y
_atom_site_fract_z
_atom_site_occupancy
Mn1 Mn 0.0000 0.0000 0.0000 1
Mo1 Mo 0.0000 0.5000 0.5000 1
Rh1 Rh 0.5000 0.5000 0.0000 1
```

Properties
Formation enthalpy at 0 K, eV per formula unit: 0.69
Magnetic moment, μB per formula unit: 2.2

***

Entry 7:
Computed, not measured: a PBEsol-optimized structure of MnMo3Rh at the SCAN level of DFT.

The structure in CIF format:
```
data_MnMo3Rh
_chemical_formula_sum 'Mn1 Mo3 Rh1'
_cell_length_a 4.3250
_cell_length_b 4.3250
_cell_length_c 4.3250
_cell_angle_alpha 90.00
_cell_angle_beta 90.00
_cell_angle_gamma 90.00
_space_group_name_H-M_alt 'P m -3 m'
_space_group_IT_number 221
_space_group_name_Hall '-P 4 2 3'
loop_
_atom_site_label
_atom_site_type_symbol
_atom_site_fract_x
_atom_site_fract_y
_atom_site_fract_z
_atom_site_occupancy
Mn1 Mn 0.0000 0.0000 0.0000 1
Mo1 Mo 0.0000 0.0000 0.5000 1
Rh1 Rh 0.5000 0.5000 0.5000 1
```

Properties
Formation enthalpy at 0 K, eV per formula unit: 5.70
Magnetic moment, μB per formula unit: 0.0

***

Entry 8:
Computed, not measured: a PBEsol-optimized structure of Mn4MoRh at the SCAN level of DFT.

The structure in CIF format:
```
data_Mn4MoRh
_chemical_formula_sum 'Mn16 Mo4 Rh4'
_cell_length_a 6.5446
_cell_length_b 6.5446
_cell_length_c 6.5446
_cell_angle_alpha 90.00
_cell_angle_beta 90.00
_cell_angle_gamma 90.00
_space_group_name_H-M_alt 'F -4 3 m'
_space_group_IT_number 216
_space_group_name_Hall 'F -4 2 3'
loop_
_atom_site_label
_atom_site_type_symbol
_atom_site_fract_x
_atom_site_fract_y
_atom_site_fract_z
_atom_site_occupancy
Mn1 Mn 0.1228 0.1228 0.1228 1
Mo1 Mo 0.0000 0.0000 0.5000 1
Rh1 Rh 0.2500 0.2500 0.7500 1
```

Properties
Formation enthalpy at 0 K, eV per formula unit: 0.28
Magnetic moment, μB per formula unit: 1.1

***

Entry 9:
Computed, not measured: a PBEsol-optimized structure of MnMoRh at the SCAN level of DFT.

The structure in CIF format:
```
data_MnMoRh
_chemical_formula_sum 'Mn2 Mo2 Rh2'
_cell_length_a 2.6794
_cell_length_b 3.6883
_cell_length_c 8.1866
_cell_angle_alpha 90.00
_cell_angle_beta 90.00
_cell_angle_gamma 90.00
_space_group_name_H-M_alt 'I m m 2'
_space_group_IT_number 44
loop_
_space_group_symop_operation_xyz
'x,y,z'
'-x,-y,z'
'-x,y,z'
'x,-y,z'
'x+1/2,y+1/2,z+1/2'
'-x+1/2,-y+1/2,z+1/2'
'-x+1/2,y+1/2,z+1/2'
'x+1/2,-y+1/2,z+1/2'
loop_
_atom_site_label
_atom_site_type_symbol
_atom_site_fract_x
_atom_site_fract_y
_atom_site_fract_z
_atom_site_occupancy
Mn1 Mn 0.0000 0.0000 0.0000 1
Mo1 Mo 0.0000 0.0000 0.6668 1
Rh1 Rh 0.0000 0.0000 0.3395 1
```

Properties
Formation enthalpy at 0 K, eV per formula unit: -0.39
Magnetic moment, μB per formula unit: 3.2

***

Entry 10:
Computed, not measured: a PBEsol-optimized structure of Mn4MoRu at the SCAN level of DFT.

The structure in CIF format:
```
data_Mn4MoRu
_chemical_formula_sum 'Mn16 Mo4 Ru4'
_cell_length_a 6.5334
_cell_length_b 6.5334
_cell_length_c 6.5334
_cell_angle_alpha 90.00
_cell_angle_beta 90.00
_cell_angle_gamma 90.00
_space_group_name_H-M_alt 'F -4 3 m'
_space_group_IT_number 216
_space_group_name_Hall 'F -4 2 3'
loop_
_atom_site_label
_atom_site_type_symbol
_atom_site_fract_x
_atom_site_fract_y
_atom_site_fract_z
_atom_site_occupancy
Mn1 Mn 0.1234 0.1234 0.1234 1
Mo1 Mo 0.0000 0.0000 0.5000 1
Ru1 Ru 0.2500 0.2500 0.7500 1
```

Properties
Formation enthalpy at 0 K, eV per formula unit: 0.28
Magnetic moment, μB per formula unit: 0.0

***

Entry 11:
Computed, not measured: a PBEsol-optimized structure of MnMoRu at the SCAN level of DFT.

The structure in CIF format:
```
data_MnMoRu
_chemical_formula_sum 'Mn1 Mo1 Ru1'
_cell_length_a 2.6512
_cell_length_b 2.6512
_cell_length_c 6.5357
_cell_angle_alpha 90.00
_cell_angle_beta 90.00
_cell_angle_gamma 120.00
_space_group_name_H-M_alt 'P 3 m 1'
_space_group_IT_number 156
loop_
_space_group_symop_operation_xyz
'x,y,z'
'-y,x-y,z'
'-x+y,-x,z'
'-y,-x,z'
'-x+y,y,z'
'x,x-y,z'
loop_
_atom_site_label
_atom_site_type_symbol
_atom_site_fract_x
_atom_site_fract_y
_atom_site_fract_z
_atom_site_occupancy
Mn1 Mn 0.0000 0.0000 0.0000 1
Mo1 Mo 0.3333 0.6667 0.6618 1
Ru1 Ru 0.6667 0.3333 0.3046 1
```

Properties
E above lowest polymorph, meV/atom: 0
Formation enthalpy at 0 K, eV per formula unit: 0.63
Magnetic moment, μB per formula unit: 2.7

***

Entry 12:
Computed, not measured: a PBEsol-optimized structure of MnMoRu2 at the SCAN level of DFT.

The structure in CIF format:
```
data_MnMoRu2
_chemical_formula_sum 'Mn2 Mo2 Ru4'
_cell_length_a 3.0370
_cell_length_b 4.1913
_cell_length_c 8.5151
_cell_angle_alpha 90.00
_cell_angle_beta 90.00
_cell_angle_gamma 90.00
_space_group_name_H-M_alt 'I m m 2'
_space_group_IT_number 44
loop_
_space_group_symop_operation_xyz
'x,y,z'
'-x,-y,z'
'-x,y,z'
'x,-y,z'
'x+1/2,y+1/2,z+1/2'
'-x+1/2,-y+1/2,z+1/2'
'-x+1/2,y+1/2,z+1/2'
'x+1/2,-y+1/2,z+1/2'
loop_
_atom_site_label
_atom_site_type_symbol
_atom_site_fract_x
_atom_site_fract_y
_atom_site_fract_z
_atom_site_occupancy
Mn1 Mn 0.0000 0.0000 0.0000 1
Mo1 Mo 0.0000 0.5000 0.7344 1
Ru1 Ru 0.0000 0.0000 0.4918 1
Ru2 Ru 0.0000 0.5000 0.2643 1
```

Properties
Formation enthalpy at 0 K, eV per formula unit: 0.26
Magnetic moment, μB per formula unit: 3.3

***

Number 12 is which compound? MnMoRu2

***

Number 8 is which compound? Mn4MoRh

***

Repeat the eighth record exactly.
Computed, not measured: a PBEsol-optimized structure of Mn4MoRh at the SCAN level of DFT.

The structure in CIF format:
```
data_Mn4MoRh
_chemical_formula_sum 'Mn16 Mo4 Rh4'
_cell_length_a 6.5446
_cell_length_b 6.5446
_cell_length_c 6.5446
_cell_angle_alpha 90.00
_cell_angle_beta 90.00
_cell_angle_gamma 90.00
_space_group_name_H-M_alt 'F -4 3 m'
_space_group_IT_number 216
_space_group_name_Hall 'F -4 2 3'
loop_
_atom_site_label
_atom_site_type_symbol
_atom_site_fract_x
_atom_site_fract_y
_atom_site_fract_z
_atom_site_occupancy
Mn1 Mn 0.1228 0.1228 0.1228 1
Mo1 Mo 0.0000 0.0000 0.5000 1
Rh1 Rh 0.2500 0.2500 0.7500 1
```

Properties
Formation enthalpy at 0 K, eV per formula unit: 0.28
Magnetic moment, μB per formula unit: 1.1

***

Look up the magnetic moment of the twelfth one. 3.3 μB per formula unit